DFT (PBE-GGA) results for crystalline TmSi2TcNi at its relaxed geometry.

Summary:
* formation energy without anion corrections: -0.750 eV/atom
* total magnetic moment: 0.000 μB/f.u.
* ρ: 8.0 g/cm3

Cell lengths 4.0069, 4.0069, 9.9010 Å; angles 90.00, 90.00, 90.00 degrees
Space group I-4m2 (No. 119)
Unique sites:
Tm1 0.0000 0.0000 0.0000 (multiplicity 2)
Si1 0.0000 0.0000 0.3767 (multiplicity 4)
Tc1 0.0000 0.5000 0.2500 (multiplicity 2)
Ni1 0.0000 0.5000 0.7500 (multiplicity 2)

DFT (PBE-GGA) results for crystalline TmSi3TcNi at its relaxed geometry.

Summary:
* formation energy without anion corrections: -0.293 eV/atom
* total magnetic moment: 0.000 μB/f.u.
* ρ: 6.2 g/cm3

Cell lengths 7.4251, 11.0022, 5.3377 Å; angles 90.00, 90.00, 90.00 degrees
Space group Cmcm (No. 63)
Unique sites:
Tm1 0.0000 0.2208 0.2500 (multiplicity 4)
Si1 0.0000 0.2766 0.7500 (multiplicity 4)
Si2 0.2468 0.5000 0.0000 (multiplicity 8)
Tc1 0.0000 0.0720 0.7500 (multiplicity 4)
Ni1 0.0000 0.4673 0.7500 (multiplicity 4)

DFT (PBE-GGA) results for crystalline USi2Tc2Ni at its relaxed geometry.

Summary:
* formation energy without anion corrections: 0.080 eV/atom
* total magnetic moment: 2.178 μB/f.u.
* ρ: 9.2 g/cm3

Cell lengths 4.3851, 4.3851, 5.1768 Å; angles 90.00, 90.00, 90.00 degrees
Space group P4/mmm (No. 123)
Unique sites:
U1 0.0000 0.0000 0.0000 (multiplicity 1)
Si1 0.0000 0.5000 0.5000 (multiplicity 2)
Tc1 0.5000 0.5000 0.2342 (multiplicity 2)
Ni1 0.0000 0.0000 0.5000 (multiplicity 1)

DFT (PBE-GGA) results for crystalline VSiTcNi at its relaxed geometry.

Summary:
* formation energy without anion corrections: -0.370 eV/atom
* total magnetic moment: 1.369 μB/f.u.
* ρ: 7.7 g/cm3

Cell lengths 5.8731, 5.8731, 5.8731 Å; angles 90.00, 90.00, 90.00 degrees
Space group F-43m (No. 216)
Unique sites:
V1 0.0000 0.0000 0.0000 (multiplicity 4)
Si1 0.0000 0.0000 0.5000 (multiplicity 4)
Tc1 0.2500 0.2500 0.2500 (multiplicity 4)
Ni1 0.2500 0.2500 0.7500 (multiplicity 4)

DFT (PBE-GGA) results for crystalline Si2Ni2Te at its relaxed geometry.

Summary:
* energy above the lowest structure with this stoichiometry: 185.2 meV per atom
* formation energy without anion corrections: 0.047 eV/atom
* total magnetic moment: 0.000 μB/f.u.
* ρ: 6.6 g/cm3

Cell lengths 7.1674, 7.1674, 2.9390 Å; angles 90.00, 90.00, 90.00 degrees
Space group P4/mbm (No. 127)
Unique sites:
Si1 0.1353 0.3647 0.0000 (multiplicity 4)
Ni1 0.1332 0.6332 0.5000 (multiplicity 4)
Te1 0.0000 0.0000 0.5000 (multiplicity 2)

DFT (PBE-GGA) results for crystalline Si2NiTe at its relaxed geometry.

Summary:
* formation energy without anion corrections: 0.528 eV/atom
* total magnetic moment: 0.000 μB/f.u.
* ρ: 5.7 g/cm3

Cell lengths 5.1291, 7.7080, 3.5738 Å; angles 90.00, 90.00, 90.00 degrees
Space group Cmmm (No. 65)
Unique sites:
Si1 0.2500 0.2500 0.0000 (multiplicity 4)
Ni1 0.0000 0.0000 0.5000 (multiplicity 2)
Te1 0.0000 0.5000 0.5000 (multiplicity 2)